Entry 1:
Here is a geometry-optimized DyTl2Cd structure from Alexandria. Energies are from PBE.

Values from the calculation:
Its relative energy among the computed polymorphs is 0.0000 eV per atom. Its formation energy is -238 meV/atom. For the total moment, the calculation gives 0.0 μB/cell.

Cell: 4.7471 4.7471 4.5641 Å, 90.00 90.00 90.00°
Closest atoms and distances in Å follow each position.
Element x y z (fractional)
Dy1 0.0000 0.0000 0.0000  8 Tl 3.29, 4 Cd 3.36
Tl1 0.0000 0.5000 0.5000  4 Cd 3.29, 4 Dy 3.29, 4 Tl 3.36
Tl2 0.5000 0.0000 0.5000  4 Cd 3.29, 4 Dy 3.29, 4 Tl 3.36
Cd1 0.5000 0.5000 0.0000  8 Tl 3.29, 4 Dy 3.36

***

Entry 2:
Here is a geometry-optimized Dy12Tl2Cd5 structure from Alexandria. Energies are from PBE.

Values from the calculation:
Its formation energy is -136 meV/atom. For the total moment, the calculation gives 0.0 μB/cell.

Cell: 8.2325 8.2325 8.2979 Å, 100.28 100.28 79.28°
Closest atoms and distances in Å follow each position.
Element x y z (fractional)
Dy1 0.0817 0.0817 0.2060  3 Cd 3.20-3.49, 6 Dy 3.41-3.56
Dy2 0.1309 0.5183 0.6943  2 Cd 3.10-3.34, 1 Tl 3.12, 2 Dy 3.41-3.46
Dy3 0.1323 0.6574 0.1074  3 Cd 3.13-3.31, 1 Tl 3.22, 2 Dy 3.41
Dy4 0.3426 0.8677 0.8926  3 Cd 3.13-3.31, 1 Tl 3.22, 2 Dy 3.41
Dy5 0.3629 0.3629 0.3580  1 Cd 3.16, 2 Tl 3.33, 3 Dy 3.50-3.53
Dy6 0.4817 0.8691 0.3057  2 Cd 3.10-3.34, 1 Tl 3.12, 2 Dy 3.41-3.46
Dy7 0.5183 0.1309 0.6943  2 Cd 3.10-3.34, 1 Tl 3.12, 2 Dy 3.41-3.46
Dy8 0.6371 0.6371 0.6420  1 Cd 3.16, 2 Tl 3.33, 3 Dy 3.50-3.53
Dy9 0.6574 0.1323 0.1074  3 Cd 3.13-3.31, 1 Tl 3.22, 2 Dy 3.41
Dy10 0.8677 0.3426 0.8926  3 Cd 3.13-3.31, 1 Tl 3.22, 2 Dy 3.41
Dy11 0.8691 0.4817 0.3057  2 Cd 3.10-3.34, 1 Tl 3.12, 2 Dy 3.41-3.46
Dy12 0.9183 0.9183 0.7940  3 Cd 3.20-3.49, 6 Dy 3.41-3.56
Tl1 0.2373 0.7627 0.5000  2 Cd 3.04, 6 Dy 3.12-3.33
Tl2 0.7627 0.2373 0.5000  2 Cd 3.04, 6 Dy 3.12-3.33
Cd1 0.1357 0.1357 0.6021  2 Tl 3.04, 3 Dy 3.10-3.20, 1 Cd 3.11
Cd2 0.2574 0.2574 0.9731  2 Cd 3.03-3.11, 8 Dy 3.13-3.34
Cd3 0.5000 0.5000 0.0000  2 Cd 3.03, 4 Dy 3.28
Cd4 0.7426 0.7426 0.0269  2 Cd 3.03-3.11, 8 Dy 3.13-3.34
Cd5 0.8643 0.8643 0.3979  2 Tl 3.04, 3 Dy 3.10-3.20, 1 Cd 3.11

***

Entry 3:
Here is a geometry-optimized Dy5Tl3Cd structure from Alexandria. Energies are from PBE.

Values from the calculation:
Its formation energy is -334 meV/atom. For the total moment, the calculation gives 0.0 μB/cell.

Cell: 9.2731 9.2731 6.7209 Å, 90.00 90.00 120.00°
Closest atoms and distances in Å follow each position.
Element x y z (fractional)
Dy1 0.0000 0.2876 0.2500  5 Tl 3.14-3.45, 2 Cd 3.15
Dy2 0.0000 0.7124 0.7500  5 Tl 3.14-3.45, 2 Cd 3.15
Dy3 0.2876 0.0000 0.2500  5 Tl 3.14-3.45, 2 Cd 3.15
Dy4 0.2876 0.2876 0.7500  5 Tl 3.14-3.45, 2 Cd 3.15
Dy5 0.3333 0.6667 0.0000  8 Dy 3.36-3.72, 6 Tl 3.37
Dy6 0.3333 0.6667 0.5000  8 Dy 3.36-3.72, 6 Tl 3.37
Dy7 0.6667 0.3333 0.0000  8 Dy 3.36-3.72, 6 Tl 3.37
Dy8 0.6667 0.3333 0.5000  8 Dy 3.36-3.72, 6 Tl 3.37
Dy9 0.7124 0.0000 0.7500  5 Tl 3.14-3.45, 2 Cd 3.15
Dy10 0.7124 0.7124 0.2500  5 Tl 3.14-3.45, 2 Cd 3.15
Tl1 0.0000 0.3735 0.7500  9 Dy 3.14-3.45
Tl2 0.0000 0.6265 0.2500  9 Dy 3.14-3.45
Tl3 0.3735 0.0000 0.7500  9 Dy 3.14-3.45
Tl4 0.3735 0.3735 0.2500  9 Dy 3.14-3.45
Tl5 0.6265 0.0000 0.2500  9 Dy 3.14-3.45
Tl6 0.6265 0.6265 0.7500  9 Dy 3.14-3.45
Cd1 0.0000 0.0000 0.0000  6 Dy 3.15, 2 Cd 3.36
Cd2 0.0000 0.0000 0.5000  6 Dy 3.15, 2 Cd 3.36

***

Entry 4:
Here is a geometry-optimized Dy4Tl2Cd3 structure from Alexandria. Energies are from PBE.

Values from the calculation:
Its formation energy is -272 meV/atom. For the total moment, the calculation gives 0.0 μB/cell.

Cell: 5.1857 5.1857 10.2477 Å, 90.00 90.00 120.00°
Closest atoms and distances in Å follow each position.
Element x y z (fractional)
Dy1 0.0000 0.0000 0.1708  3 Tl 3.25, 4 Cd 3.32-3.37, 1 Dy 3.50
Dy2 0.0000 0.0000 0.8292  3 Tl 3.25, 4 Cd 3.32-3.37, 1 Dy 3.50
Dy3 0.3333 0.6667 0.6178  4 Tl 3.13-3.32, 3 Cd 3.23
Dy4 0.6667 0.3333 0.3822  4 Tl 3.13-3.32, 3 Cd 3.23
Tl1 0.3333 0.6667 0.2940  7 Dy 3.13-3.32, 1 Cd 3.33
Tl2 0.6667 0.3333 0.7060  7 Dy 3.13-3.32, 1 Cd 3.33
Cd1 0.0000 0.0000 0.5000  8 Dy 3.23-3.37
Cd2 0.3333 0.6667 0.9687  3 Cd 3.06, 3 Dy 3.32, 1 Tl 3.33
Cd3 0.6667 0.3333 0.0313  3 Cd 3.06, 3 Dy 3.32, 1 Tl 3.33

***

Entry 5:
Here is a geometry-optimized Dy6Tl5Cd structure from Alexandria. Energies are from PBE.

Values from the calculation:
Its relative energy among the computed polymorphs is 0.0000 eV per atom. Its formation energy is -344 meV/atom. For the total moment, the calculation gives 0.0 μB/cell.

Cell: 8.4998 8.4998 7.5040 Å, 90.00 90.00 143.18°
Closest atoms and distances in Å follow each position.
Element x y z (fractional)
Dy1 0.0000 0.0000 0.2493  6 Tl 3.23-3.29, 2 Cd 3.27
Dy2 0.0000 0.0000 0.7507  6 Tl 3.23-3.29, 2 Cd 3.27
Dy3 0.3336 0.6664 0.2477  1 Cd 3.26, 7 Tl 3.27-3.32
Dy4 0.3336 0.6664 0.7523  1 Cd 3.26, 7 Tl 3.27-3.32
Dy5 0.6664 0.3336 0.2477  1 Cd 3.26, 7 Tl 3.27-3.32
Dy6 0.6664 0.3336 0.7523  1 Cd 3.26, 7 Tl 3.27-3.32
Tl1 0.1631 0.8369 0.0000  8 Dy 3.23-3.32
Tl2 0.1671 0.8329 0.5000  8 Dy 3.28-3.29
Tl3 0.5000 0.5000 0.5000  8 Dy 3.28
Tl4 0.8329 0.1671 0.5000  8 Dy 3.28-3.29
Tl5 0.8369 0.1631 0.0000  8 Dy 3.23-3.32
Cd1 0.5000 0.5000 0.0000  8 Dy 3.26-3.27

***

Entry 6:
Here is a geometry-optimized Dy4Tl3Cd structure from Alexandria. Energies are from PBE.

Values from the calculation:
Its relative energy among the computed polymorphs is 0.0473 eV per atom. Its formation energy is -292 meV/atom. For the total moment, the calculation gives 0.0 μB/cell.

Cell: 3.8310 4.8521 12.0102 Å, 90.00 90.00 90.00°
Closest atoms and distances in Å follow each position.
Element x y z (fractional)
Dy1 0.0000 0.0000 0.0000  5 Tl 3.16-3.20, 2 Cd 3.36
Dy2 0.0000 0.5000 0.3003  3 Tl 3.15-3.39, 4 Cd 3.21
Dy3 0.5000 0.0000 0.4943  1 Cd 3.18, 6 Tl 3.20-3.49
Dy4 0.5000 0.5000 0.8011  7 Tl 3.18-3.44
Tl1 0.0000 0.0000 0.7372  7 Dy 3.16-3.49, 2 Tl 3.21
Tl2 0.0000 0.5000 0.5627  7 Dy 3.15-3.44, 2 Tl 3.21
Tl3 0.5000 0.5000 0.0674  2 Cd 3.11, 7 Dy 3.20-3.39
Cd1 0.5000 0.0000 0.2297  2 Tl 3.11, 7 Dy 3.18-3.36

***

Entry 7:
Here is a geometry-optimized DyTlCd structure from Alexandria. Energies are from PBE.

Values from the calculation:
Its formation energy is -108 meV/atom. For the total moment, the calculation gives 0.0 μB/cell.

Cell: 4.4507 4.4507 4.4507 Å, 76.32 76.32 76.32°
Closest atoms and distances in Å follow each position.
Element x y z (fractional)
Dy1 0.0000 0.0000 0.0000  4 Cd 3.14-3.18, 4 Tl 3.18-3.22
Tl1 0.6559 0.6559 0.6559  4 Cd 2.99-3.18, 4 Dy 3.18-3.22
Cd1 0.3360 0.3360 0.3360  4 Tl 2.99-3.18, 4 Dy 3.14-3.18

***

Entry 8:
Here is a geometry-optimized DyTl2Cd structure from Alexandria. Energies are from PBE.

Values from the calculation:
Its relative energy among the computed polymorphs is 0.1475 eV per atom. Its formation energy is -91 meV/atom. For the total moment, the calculation gives 0.0 μB/cell.

Cell: 3.7029 3.7029 7.7130 Å, 90.00 90.00 90.00°
Closest atoms and distances in Å follow each position.
Element x y z (fractional)
Dy1 0.0000 0.0000 0.0000  8 Tl 3.30
Tl1 0.5000 0.5000 0.2599  4 Cd 3.21, 4 Dy 3.30
Tl2 0.5000 0.5000 0.7401  4 Cd 3.21, 4 Dy 3.30
Cd1 0.0000 0.0000 0.5000  8 Tl 3.21

***

Entry 9:
Here is a geometry-optimized Dy4Tl2Cd5 structure from Alexandria. Energies are from PBE.

Values from the calculation:
Its formation energy is -227 meV/atom. For the total moment, the calculation gives 0.0 μB/cell.

Cell: 7.9824 3.5304 10.2672 Å, 90.00 95.92 90.00°
Closest atoms and distances in Å follow each position.
Element x y z (fractional)
Dy1 0.1702 0.0000 0.3923  2 Tl 3.16, 6 Cd 3.24-3.37, 2 Dy 3.53
Dy2 0.2780 0.0000 0.9387  6 Cd 3.27-3.42, 4 Tl 3.31, 3 Dy 3.53-3.64
Dy3 0.7220 0.0000 0.0613  6 Cd 3.27-3.42, 4 Tl 3.31, 3 Dy 3.53-3.64
Dy4 0.8298 0.0000 0.6077  2 Tl 3.16, 6 Cd 3.24-3.37, 2 Dy 3.53
Tl1 0.0685 0.5000 0.1408  1 Tl 2.98, 2 Cd 3.05-3.07, 6 Dy 3.16-3.31
Tl2 0.9315 0.5000 0.8592  1 Tl 2.98, 2 Cd 3.05-3.07, 6 Dy 3.16-3.31
Cd1 0.1900 0.5000 0.6580  1 Tl 3.07, 2 Cd 3.07-3.10, 6 Dy 3.24-3.39
Cd2 0.4498 0.5000 0.2049  2 Cd 3.01-3.07, 1 Tl 3.05, 2 Dy 3.27
Cd3 0.5000 0.5000 0.5000  4 Cd 3.01-3.10, 4 Dy 3.27
Cd4 0.5502 0.5000 0.7951  2 Cd 3.01-3.07, 1 Tl 3.05, 2 Dy 3.27
Cd5 0.8100 0.5000 0.3420  1 Tl 3.07, 2 Cd 3.07-3.10, 6 Dy 3.24-3.39

***

Entry 10:
Here is a geometry-optimized DyTlCd4 structure from Alexandria. Energies are from PBE.

Values from the calculation:
Its relative energy among the computed polymorphs is 0.0000 eV per atom. Its formation energy is -172 meV/atom. For the total moment, the calculation gives 0.0 μB/cell.

Cell: 9.5346 9.5346 5.0570 Å, 90.00 90.00 140.09°
Closest atoms and distances in Å follow each position.
Element x y z (fractional)
Dy1 0.1227 0.8773 0.7500  2 Tl 3.25, 12 Cd 3.29-3.43
Dy2 0.8773 0.1227 0.2500  2 Tl 3.25, 12 Cd 3.29-3.43
Tl1 0.3819 0.6181 0.2500  2 Dy 3.25, 12 Cd 3.34-3.48
Tl2 0.6181 0.3819 0.7500  2 Dy 3.25, 12 Cd 3.34-3.48
Cd1 0.0369 0.4561 0.7500  4 Cd 2.91-3.21
Cd2 0.1948 0.2805 0.7500  4 Cd 2.96-3.09, 2 Dy 3.29
Cd3 0.2805 0.1948 0.2500  4 Cd 2.96-3.09, 2 Dy 3.29
Cd4 0.4561 0.0369 0.2500  4 Cd 2.91-3.21
Cd5 0.5439 0.9631 0.7500  4 Cd 2.91-3.21
Cd6 0.7195 0.8052 0.7500  4 Cd 2.96-3.09, 2 Dy 3.29
Cd7 0.8052 0.7195 0.2500  4 Cd 2.96-3.09, 2 Dy 3.29
Cd8 0.9631 0.5439 0.2500  4 Cd 2.91-3.21